No. 1
Entry from Alexandria: Y4ErCd after structural relaxation (GGA-PBE).

Results
The calculation puts the density of states at the Fermi level at 1.47 states/eV per atom. Its offset from the most stable computed form is 0 meV/atom. The volume is 181 Å³/cell. Its formation energy is -0.58 eV per formula unit.

Lattice parameters (Å, degrees): 3.580 3.580 14.143 90.00 90.00 90.00
Space group P4/mmm (No. 123)
Unique sites:
Y 0.000 0.000 0.146 (multiplicity 2)
Y 0.500 0.500 0.325 (multiplicity 2)
Er 0.000 0.000 0.500 (multiplicity 1)
Cd 0.500 0.500 0.000 (multiplicity 1)

---

No. 2
Entry from Alexandria: Y2ErCd5 after structural relaxation (GGA-PBE).

Results
The calculation puts the density of states at the Fermi level at 0.43 states/eV per atom. The volume is 393 Å³/cell. Its formation energy is -2.48 eV per formula unit.

Lattice parameters (Å, degrees): 5.122 5.122 14.985 90.00 90.00 90.00
Space group I4/mmm (No. 139)
Unique sites:
Y 0.000 0.000 0.240 (multiplicity 4)
Er 0.000 0.000 0.500 (multiplicity 2)
Cd 0.000 0.000 0.000 (multiplicity 2)
Cd 0.000 0.500 0.118 (multiplicity 8)

---

No. 3
Entry from Alexandria: Y8Er2Cd after structural relaxation (GGA-PBE).

Results
The calculation puts the density of states at the Fermi level at 1.57 states/eV per atom. Its offset from the most stable computed form is 0 meV/atom. The volume is 688 Å³/cell. Its formation energy is -0.27 eV per formula unit.

Lattice parameters (Å, degrees): 19.353 5.564 6.413 90.00 94.88 90.00
Space group C2/m (No. 12)
Unique sites:
Y 0.045 0.000 0.262 (multiplicity 4)
Y 0.079 0.500 0.600 (multiplicity 4)
Y 0.155 0.000 0.802 (multiplicity 4)
Y 0.161 0.500 0.125 (multiplicity 4)
Er 0.243 0.000 0.335 (multiplicity 4)
Cd 0.000 0.500 0.000 (multiplicity 2)

---

> Look up the volume of the third one.

688 Å³/cell